DFT (PBE) results for crystalline ZnFeHg2 at its relaxed geometry.

Values from the calculation:
The volume is 72 Å³/cell. As for the total energy: -2.115 eV per atom. As for the formation energy: 1.88 eV/f.u.

Cell lengths 4.6797, 4.6797, 4.6797 Å; angles 60.00, 60.00, 60.00 degrees
Last column: magnetic moment on the atom in μB.
Fractional coordinates of all 4 atoms:
Fe 0.5000 0.5000 0.5000  2.69
Hg 0.0000 0.0000 0.0000  0.01
Hg 0.7500 0.7500 0.7500  -0.03
Zn 0.2500 0.2500 0.2500  -0.05